NdHo3Er2: optimized geometry, PBE. Values from VASP.

Cell and atoms, written as Quantum ESPRESSO input:
```
&SYSTEM
  ibrav = 0, nat = 12, ntyp = 3
/
ATOMIC_SPECIES
Nd 144.24 Nd.upf
Ho 164.93 Ho.upf
Er 167.26 Er.upf
CELL_PARAMETERS angstrom
8.6797 -3.5425 0.0000
8.6797 3.5425 0.0000
-0.0122 0.0000 6.1322
ATOMIC_POSITIONS angstrom
Nd 8.6706 2.6520 4.5991
Nd 8.6767 -2.6520 1.5330
Ho 2.9094 0.8895 5.6112
Ho 2.9155 -0.8895 2.5451
Ho 8.6767 0.8763 1.5330
Ho 8.6706 -0.8763 4.5991
Ho 14.4318 0.8895 3.5870
Ho 14.4379 -0.8895 0.5209
Er 5.7646 0.8815 3.5746
Er 5.7707 -0.8815 0.5085
Er 11.5766 0.8815 5.6237
Er 11.5827 -0.8815 2.5576
```

Calculated values
Total magnetic moment   0.00 μB/cell
Calculated formation energy   21 meV per atom
DOS(E_F)   1.390 states/eV per atom
E_tot   -4.583 eV per atom
Space group   No. 15
Polymorph energy (0 for the lowest one)   0.0241 eV/atom